1.
80
Lattice="-7.8877 7.8877 7.8877 7.8877 -7.8877 7.8877 7.8877 7.8877 -7.8877" Properties=species:S:1:pos:R:3 comment="Pu3Zn5Se12 | the Alexandria database | PBE-GGA | relaxed" total_energy_ev_per_cell=-423.01 dos_at_fermi_per_ev_atom=1.792 pbc="T T T"
Pu 3.9439 1.9719 0.0000
Pu 7.8877 3.9439 -1.9719
Pu 1.9719 0.0000 3.9439
Pu 9.8596 0.0000 3.9439
Pu 0.0000 3.9439 1.9719
Pu 3.9439 -1.9719 7.8877
Pu 3.9439 9.8596 0.0000
Pu 7.8877 3.9439 5.9158
Pu -1.9719 7.8877 3.9439
Pu 5.9158 7.8877 3.9439
Pu 0.0000 3.9439 9.8596
Pu 3.9439 5.9158 7.8877
Zn 0.0000 0.0000 0.0000
Zn 3.9439 3.9439 -3.9439
Zn 3.9439 -3.9439 3.9439
Zn 7.8877 0.0000 0.0000
Zn 11.8316 1.9719 0.0000
Zn 7.8877 -3.9439 5.9158
Zn 5.9158 7.8877 -3.9439
Zn 5.9158 0.0000 3.9439
Zn 3.9439 5.9158 0.0000
Zn 7.8877 3.9439 1.9719
Zn -3.9439 3.9439 3.9439
Zn 0.0000 7.8877 0.0000
Zn 0.0000 0.0000 7.8877
Zn 3.9439 3.9439 3.9439
Zn 0.0000 3.9439 5.9158
Zn 3.9439 1.9719 7.8877
Zn 1.9719 7.8877 3.9439
Zn 1.9719 0.0000 11.8316
Zn 0.0000 11.8316 1.9719
Zn -3.9439 5.9158 7.8877
Se 2.3960 -0.3829 1.0270
Se 9.4356 4.9709 -4.3267
Se 7.5048 -1.0270 2.3960
Se 12.2145 -1.5478 2.9169
Se 10.2837 0.3829 1.0270
Se 9.4356 -2.9169 4.3267
Se 1.0270 2.3960 -0.3829
Se 10.8046 3.5610 -1.5478
Se 4.9709 4.3267 -1.5478
Se 6.8607 2.3960 0.3829
Se -0.3829 1.0270 2.3960
Se 4.3267 -1.5478 4.9709
Se 7.5048 6.8607 -2.3960
Se 4.3267 1.5478 2.9169
Se 6.8607 -2.3960 7.5048
Se 4.9709 -4.3267 9.4356
Se 2.9169 4.3267 1.5478
Se 8.9147 5.4917 0.3829
Se 2.3960 7.5048 -1.0270
Se 9.4356 2.9169 3.5610
Se 4.3267 9.4356 -2.9169
Se 7.5048 1.0270 5.4917
Se 1.5478 2.9169 4.3267
Se 2.3960 0.3829 6.8607
Se 5.4917 7.5048 1.0270
Se 6.3399 4.9709 3.5610
Se 0.3829 6.8607 2.3960
Se 3.5610 -1.5478 10.8046
Se -1.5478 4.9709 4.3267
Se 5.4917 0.3829 8.9147
Se -1.0270 2.3960 7.5048
Se 4.9709 3.5610 6.3399
Se 2.9169 12.2145 -1.5478
Se 1.0270 10.2837 0.3829
Se 3.5610 6.3399 4.9709
Se 0.3829 1.0270 10.2837
Se 3.5610 9.4356 2.9169
Se 8.2706 6.8607 5.4917
Se 1.0270 5.4917 7.5048
Se 2.9169 3.5610 9.4356
Se -2.9169 4.3267 9.4356
Se 6.8607 5.4917 8.2706
Se -1.5478 10.8046 3.5610
Se -2.3960 7.5048 6.8607
Se -4.3267 9.4356 4.9709
Se 0.3829 8.9147 5.4917
Se -1.5478 2.9169 12.2145
Se 5.4917 8.2706 6.8607

2.
20
Lattice="5.6319 -6.9741 0.0000 5.6319 6.9741 0.0000 0.0000 0.0000 6.7899" Properties=species:S:1:pos:R:3 comment="Pu3ZnSe6 | the Alexandria database | PBE-GGA | relaxed" total_energy_ev_per_cell=-154.23 dos_at_fermi_per_ev_atom=2.964 pbc="T T T"
Pu 5.6319 5.4730 3.3950
Pu 3.6194 1.4198 2.9064
Pu 3.6194 -1.4198 6.3013
Pu 7.6443 1.4198 2.9064
Pu 7.6443 -1.4198 6.3013
Pu 5.6319 -5.4730 0.0000
Zn 5.6319 2.7846 5.9237
Zn 5.6319 -2.7846 2.5287
Se 3.6747 3.7454 4.7293
Se 1.8243 0.3652 4.8594
Se 1.8243 -0.3652 1.4645
Se 5.6319 3.0619 1.5849
Se 7.5890 3.7454 4.7293
Se 5.6319 0.4814 4.9179
Se 5.6319 -0.4814 1.5229
Se 3.6747 -3.7454 1.3343
Se 5.6319 -3.0619 4.9799
Se 9.4395 0.3652 4.8594
Se 9.4395 -0.3652 1.4645
Se 7.5890 -3.7454 1.3343

3.
4
Lattice="1.8148 1.0478 10.1604 -1.8148 1.0478 10.1604 0.0000 -2.0955 10.1604" Properties=species:S:1:pos:R:3 comment="Pu2ZnSe | the Alexandria database | PBE-GGA | relaxed" total_energy_ev_per_cell=-34.28 dos_at_fermi_per_ev_atom=3.826 pbc="T T T"
Pu 0.0000 0.0000 3.1152
Pu 0.0000 0.0000 27.3661
Zn 0.0000 0.0000 0.0000
Se 0.0000 0.0000 15.2406

4.
4
Lattice="1.9545 1.1284 8.7322 -1.9545 1.1284 8.7322 0.0000 -2.2568 8.7322" Properties=species:S:1:pos:R:3 comment="PuZrSe2 | the Alexandria database | PBE-GGA | relaxed" total_energy_ev_per_cell=-32.70 dos_at_fermi_per_ev_atom=2.476 e_above_lowest_polymorph_mev_per_atom=604 pbc="T T T"
Pu 0.0000 0.0000 0.0000
Zr 0.0000 0.0000 13.0983
Se 0.0000 0.0000 10.4973
Se 0.0000 0.0000 15.6993

5.
4
Lattice="1.8980 1.0958 7.2944 -1.8980 1.0958 7.2944 0.0000 -2.1916 7.2944" Properties=species:S:1:pos:R:3 comment="PuZrSe2 | the Alexandria database | PBE-GGA | relaxed" total_energy_ev_per_cell=-35.12 dos_at_fermi_per_ev_atom=2.494 e_above_lowest_polymorph_mev_per_atom=0 pbc="T T T"
Pu 0.0000 0.0000 0.0000
Zr 0.0000 0.0000 3.7696
Se 0.0000 0.0000 9.3209
Se 0.0000 0.0000 12.7104

6.
20
Lattice="8.6249 0.0000 0.0000 0.0000 3.8691 0.0000 0.0000 0.0000 14.4368" Properties=species:S:1:pos:R:3 comment="PuZrSe3 | the Alexandria database | PBE-GGA | relaxed" total_energy_ev_per_cell=-161.06 dos_at_fermi_per_ev_atom=2.320 pbc="T T T"
Pu 1.2333 0.9673 2.8736
Pu 3.0792 2.9018 10.0920
Pu 5.5458 0.9673 4.3448
Pu 7.3916 2.9018 11.5632
Zr 1.5262 2.9018 6.6018
Zr 2.7863 0.9673 13.8202
Zr 5.8387 2.9018 0.6165
Zr 7.0988 0.9673 7.8349
Se 0.0789 2.9018 8.9119
Se 1.3068 0.9673 11.5534
Se 1.3715 2.9018 0.6198
Se 2.9409 0.9673 7.8382
Se 3.0057 2.9018 4.3350
Se 4.2336 0.9673 1.6935
Se 4.3913 2.9018 12.7433
Se 5.6192 0.9673 10.1018
Se 5.6840 2.9018 6.5985
Se 7.2534 0.9673 13.8169
Se 7.3182 2.9018 2.8834
Se 8.5461 0.9673 5.5249

no.,total magnetic moment (Bohr magnetons per cell),calculated volume (Å³/f.u.),uncorrected formation energy (eV per atom)
1,45.65,490.7,-0.73
2,9.54,266.7,-1.19
3,12.36,115.9,-0.21
4,5.98,115.6,-0.71
5,6.00,91.0,-1.32
6,22.42,120.4,-1.39